Crystalline HfNbBi at its relaxed geometry, computed with PBE.

For the density, the calculation gives 11.18 Mg/m³. The value obtained for the formation energy from the elements is -0.07 eV per atom.

Unit cell a=3.6089 b=5.7394 c=7.6637 alpha=107.80 beta=90.00 gamma=108.32
Closest atoms and distances in Å follow each position.
Positions (direct):
Bi  0.8374  0.6747  0.8477  3 Nb 2.96-3.13, 4 Hf 3.15-3.20
Nb  0.3596  0.7193  0.5537  2 Nb 2.89, 4 Hf 2.94-2.95, 3 Bi 2.96-3.13
Hf  0.0811  0.1622  0.7127  4 Nb 2.94-2.95, 4 Bi 3.15-3.20, 1 Hf 3.17
Nb  0.6404  0.2807  0.4463  2 Nb 2.89, 4 Hf 2.94-2.95, 3 Bi 2.96-3.13
Bi  0.1626  0.3253  0.1523  3 Nb 2.96-3.13, 4 Hf 3.15-3.20
Hf  0.9189  0.8378  0.2873  4 Nb 2.94-2.95, 4 Bi 3.15-3.20, 1 Hf 3.17

Crystalline MgInCoN at its relaxed geometry, computed with PBE.

The formation energy without anion corrections is -7 meV per atom. For the density, the calculation gives 6.54 Mg/m³. The energy above the lowest structure with this stoichiometry is 9.2 kJ/mol of atoms.

Unit cell a=2.9033 b=3.6300 c=10.2177 alpha=90.00 beta=90.00 gamma=90.00
Closest atoms and distances in Å follow each position.
Positions (direct):
Mg  0.0000  0.0000  0.5579  4 N 2.36, 2 Co 2.53
N  0.5000  0.5000  0.5992  2 Co 1.97
Co  0.0000  0.5000  0.7299  2 N 1.97
N  0.5000  0.0000  0.0992  2 Co 1.97
In  0.5000  0.5000  0.3533  1 N 2.51, 4 Co 2.64
In  0.5000  0.0000  0.8533  1 N 2.51, 4 Co 2.64
Co  0.0000  0.0000  0.2299  2 N 1.97
Mg  0.0000  0.5000  0.0579  4 N 2.36, 2 Co 2.53

- Which of these has the lowest density?
  MgInCoN

- What is the density in the first record?
  11.18 Mg/m³